No. 1
Computed, not measured: crystalline VGa2Fe8 at its relaxed geometry at the PBE level of DFT.

Unit cell a=7.349 b=9.889 c=3.909 alpha=90.00 beta=90.00 gamma=90.00
Space group Cmmm (No. 65)
Inequivalent atoms, fractional coordinates:
V 0.000 0.000 0.000
Ga 0.000 0.374 0.500
Fe 0.000 0.232 0.000
Fe 0.171 0.137 0.500
Fe 0.180 0.500 0.000

Properties
Its density of states at the Fermi level is 6.982 states/eV/f.u. The energy relative to the elements is 0.124 eV per atom.

=====

No. 2
Computed, not measured: crystalline KScSb2 at its relaxed geometry at the PBE level of DFT.

Unit cell a=4.4860 b=4.4860 c=23.5126 alpha=90.00 beta=90.00 gamma=120.00
Space group R3m (No. 160, hexagonal axes)
Inequivalent atoms, fractional coordinates:
K 0.0000 0.0000 0.0000
Sc 0.0000 0.0000 0.1710
Sb 0.0000 0.0000 0.5619
Sb 0.0000 0.0000 0.7782

Properties
Its density of states at the Fermi level is 2.861 states/eV/f.u. The formation energy (no corrections) is -436 meV per atom. The distance to the lowest polymorph of the same formula is 140 meV/atom.

=====

No. 3
Computed, not measured: crystalline La2TbDy at its relaxed geometry at the PBE level of DFT.

Unit cell a=3.6641 b=3.6641 c=35.2124 alpha=90.00 beta=90.00 gamma=120.00
Space group R-3m (No. 166, hexagonal axes)
Inequivalent atoms, fractional coordinates:
La 0.0000 0.0000 0.2502
Tb 0.0000 0.0000 0.5000
Dy 0.0000 0.0000 0.0000

Properties
Its density of states at the Fermi level is 5.152 states/eV/f.u. The energy relative to the elements is 0.011 eV per atom. The distance to the lowest polymorph of the same formula is 0 meV/atom.

=====

No. 4
Computed, not measured: crystalline Tb2TmS3 at its relaxed geometry at the PBE level of DFT.

Unit cell a=3.907 b=5.505 c=11.683 alpha=90.00 beta=90.00 gamma=90.00
Space group Immm (No. 71)
Inequivalent atoms, fractional coordinates:
Tb 0.000 0.000 0.169
Tm 0.000 0.000 0.500
S 0.000 0.500 0.162
S 0.000 0.500 0.500

Properties
Its density of states at the Fermi level is 2.381 states/eV/f.u. The formation energy (no corrections) is -1981 meV per atom.

=====

No. 5
Computed, not measured: crystalline HfZr2SnB at its relaxed geometry at the PBE level of DFT.

Unit cell a=4.652 b=4.652 c=4.593 alpha=90.00 beta=90.00 gamma=90.00
Space group P4/mmm (No. 123)
Inequivalent atoms, fractional coordinates:
Hf 0.000 0.000 0.000
Zr 0.000 0.500 0.500
Sn 0.500 0.500 0.000
B 0.000 0.000 0.500

Properties
Its density of states at the Fermi level is 2.616 states/eV/f.u. The energy relative to the elements is -0.461 eV per atom.

=====

No. 6
Computed, not measured: crystalline ScGaSnRu2 at its relaxed geometry at the PBE level of DFT.

Unit cell a=4.681 b=4.681 c=4.943 alpha=90.00 beta=90.00 gamma=90.00
Space group P4/mmm (No. 123)
Inequivalent atoms, fractional coordinates:
Sc 0.000 0.000 0.000
Ga 0.000 0.000 0.500
Sn 0.500 0.500 0.500
Ru 0.000 0.500 0.000

Properties
Its density of states at the Fermi level is 5.100 states/eV/f.u. The energy relative to the elements is 1.015 eV per atom.